Entry 1:
The following is a PBE calculation of a relaxed Ba3As2Pd2 crystal, from the Alexandria database.

a b c (Å): 4.6423 4.7588 19.1896
angles (deg): 90.00 90.00 90.00
Fractional positions:
Ba: 0.0000 0.0000 0.0000
Ba: 0.0000 0.5000 0.3174
Ba: 0.0000 0.5000 0.6826
Ba: 0.5000 0.0000 0.1826
Ba: 0.5000 0.0000 0.8174
Ba: 0.5000 0.5000 0.5000
As: 0.0000 0.5000 0.1324
As: 0.0000 0.5000 0.8676
As: 0.5000 0.0000 0.3676
As: 0.5000 0.0000 0.6324
Pd: 0.0000 0.0000 0.4254
Pd: 0.0000 0.0000 0.5746
Pd: 0.5000 0.5000 0.0746
Pd: 0.5000 0.5000 0.9254

Computed properties:
Crystal system: orthorhombic
Energy of formation (eV per atom): -0.8835
Total energy (eV per atom): -4.52
Symmetry: Immm (71)
DOS at the Fermi energy (states/eV/cell): 4.17

---

Entry 2:
The following is a PBE calculation of a relaxed Ba2AsPd crystal, from the Alexandria database.

a b c (Å): 6.4540 6.4540 17.3216
angles (deg): 90.00 90.00 90.00
Fractional positions:
Ba: 0.2433 0.2500 0.1250
Ba: 0.2500 0.7433 0.3750
Ba: 0.2500 0.7567 0.8750
Ba: 0.2567 0.2500 0.6250
Ba: 0.7433 0.7500 0.6250
Ba: 0.7500 0.2433 0.8750
Ba: 0.7500 0.2567 0.3750
Ba: 0.7567 0.7500 0.1250
As: 0.0000 0.0000 0.5000
As: 0.0000 0.5000 0.7500
As: 0.5000 0.0000 0.2500
As: 0.5000 0.5000 0.0000
Pd: 0.0000 0.0000 0.0000
Pd: 0.0000 0.5000 0.2500
Pd: 0.5000 0.0000 0.7500
Pd: 0.5000 0.5000 0.5000

Computed properties:
Crystal system: tetragonal
Energy of formation (eV per atom): -0.2683
Total energy (eV per atom): -3.69
Symmetry: I-42d (122)
DOS at the Fermi energy (states/eV/cell): 32.76